YRuN2, relaxed, DFT PBE-GGA; density of states at the Fermi level = 2.310 states/eV/f.u.; offset from the most stable computed form = 458 meV/atom; space-group type = Fm-3m (225)
1.0
0.000 2.840 2.840
2.840 0.000 2.840
2.840 2.840 0.000
N Y Ru
2 1 1
direct
0.750 0.750 0.750 N
0.250 0.250 0.250 N
0.000 0.000 0.000 Y
0.500 0.500 0.500 Ru

=====

YRuN3, relaxed, DFT PBE-GGA; density of states at the Fermi level = 10.288 states/eV/f.u.; space-group type = Pm-3m (221)
1.0
4.286 0.000 0.000
0.000 4.286 0.000
0.000 0.000 4.286
Y N Ru
1 3 1
direct
0.000 0.000 0.000 Y
0.000 0.000 0.500 N
0.000 0.500 0.000 N
0.500 0.000 0.000 N
0.500 0.500 0.500 Ru

=====

Zn2Ru2N, relaxed, DFT PBE-GGA; density of states at the Fermi level = 3.486 states/eV/f.u.; offset from the most stable computed form = 0 meV/atom; space-group type = P4/mbm (127)
1.0
5.495 0.000 0.000
0.000 5.495 0.000
0.000 0.000 4.452
N Ru Zn
2 4 4
direct
0.000 0.000 0.000 N
0.500 0.500 0.000 N
0.181 0.319 0.000 Ru
0.819 0.681 0.000 Ru
0.681 0.181 0.000 Ru
0.319 0.819 0.000 Ru
0.655 0.845 0.500 Zn
0.345 0.155 0.500 Zn
0.155 0.655 0.500 Zn
0.845 0.345 0.500 Zn

=====

Zn2RuN, relaxed, DFT PBE-GGA; density of states at the Fermi level = 2.554 states/eV/f.u.; space-group type = R-3m (166)
1.0
-0.764 1.925 -1.984
-2.770 0.373 -0.644
-1.708 6.086 4.488
Zn N Ru
2 1 1
direct
0.888 0.888 0.337 Zn
0.112 0.112 0.663 Zn
0.500 0.500 0.500 N
0.000 0.000 0.000 Ru

=====

Number 1: electronic total energy -8.1095 eV/atom, formation energy from raw total energies -12 meV per atom. Number 2: electronic total energy -6.1609 eV/atom, formation energy from raw total energies 1982 meV per atom. Number 3: electronic total energy -5.7094 eV/atom, formation energy from raw total energies 176 meV per atom. Number 4: electronic total energy -4.3593 eV/atom, formation energy from raw total energies 678 meV per atom.